Ac8RuRh3I3: relaxed, PBE.

POSCAR file:
```
Ac8RuRh3I3
1.0
8.7019 -0.0017 0.0002
-4.3524 7.5391 -0.0280
0.0012 -4.9910 8.7745
Ac I Rh Ru
8 3 3 1
direct
0.2246 0.4493 0.6820 Ac
0.2724 0.5445 0.3178 Ac
0.7276 0.4555 0.6822 Ac
0.7754 0.0420 0.3182 Ac
0.7754 0.5507 0.3180 Ac
0.2246 0.9580 0.6818 Ac
0.2668 0.0419 0.3182 Ac
0.7332 0.9581 0.6818 Ac
0.0000 0.5000 0.0000 I
0.5000 0.5000 0.0000 I
0.0000 0.0000 0.0000 I
0.5000 0.5000 0.5000 Rh
0.0000 0.5000 0.5000 Rh
0.5000 0.0000 0.5000 Rh
0.0000 0.0000 0.5000 Ru
```

Computed properties:
Magnetization, μB per cell: 0.00
Formation energy from raw total energies, meV/atom: -845
SG: C2/m (12)


La2Ho12Th5: relaxed, PBE.

POSCAR file:
```
La2Ho12Th5
1.0
7.0736 0.0000 0.0000
-3.5368 8.6289 3.4648
0.0000 0.2370 10.2089
La Ho Th
2 12 5
direct
0.7117 0.0000 0.0000 La
0.2883 0.0000 0.0000 La
0.5844 0.6693 0.5149 Ho
0.0849 0.6693 0.5149 Ho
0.4044 0.3176 0.1376 Ho
0.5009 0.0019 0.3337 Ho
0.0280 0.0559 0.7642 Ho
0.4991 0.9981 0.6663 Ho
0.9132 0.3176 0.1376 Ho
0.5956 0.6824 0.8624 Ho
0.4156 0.3307 0.4851 Ho
0.9151 0.3307 0.4851 Ho
0.9720 0.9441 0.2358 Ho
0.0868 0.6824 0.8624 Ho
0.0000 0.0000 0.5000 Th
0.8122 0.6244 0.1806 Th
0.3187 0.6373 0.2102 Th
0.6813 0.3627 0.7898 Th
0.1878 0.3756 0.8194 Th
```

Computed properties:
Magnetization, μB per cell: 0.00
SG: C2/m (12)
Formation energy, kcal/mol of atoms: 4.86


MnTeHN2: relaxed, PBE.

POSCAR file:
```
MnTeHN2
1.0
-0.8441 2.1552 -3.3616
2.3196 -2.5322 -2.2058
-2.7497 -2.0021 -0.5931
N Te H Mn
2 1 1 1
direct
0.0000 0.5000 0.0000 N
0.5000 0.0000 0.0000 N
0.0000 0.0000 0.5000 Te
0.0000 0.0000 0.0000 H
0.5000 0.5000 0.5000 Mn
```

Computed properties:
Magnetization, μB per cell: 3.77
SG: P4/mmm (123)
ΔE to the lowest computed polymorph, meV/atom: 981


LaP2Rh3: relaxed, PBE.

POSCAR file:
```
LaP2Rh3
1.0
-0.8753 -3.8471 0.1571
8.1621 0.1108 -1.4329
-1.2591 0.6818 9.6842
La Rh P
3 9 6
direct
0.1544 0.3089 0.6960 La
0.0000 0.0000 0.0000 La
0.8456 0.6911 0.3040 La
0.3224 0.6447 0.0433 Rh
0.0457 0.0914 0.3307 Rh
0.3697 0.7394 0.7907 Rh
0.7766 0.5532 0.6045 Rh
0.2234 0.4468 0.3955 Rh
0.9543 0.9086 0.6693 Rh
0.6303 0.2606 0.2093 Rh
0.6776 0.3553 0.9567 Rh
0.5000 0.0000 0.5000 Rh
0.4642 0.9284 0.2256 P
0.8014 0.6028 0.8698 P
0.5358 0.0716 0.7744 P
0.3626 0.7252 0.5512 P
0.6374 0.2748 0.4488 P
0.1986 0.3972 0.1302 P
```

Computed properties:
Magnetization, μB per cell: 0.00
SG: C2/m (12)
Formation energy, kcal/mol of atoms: -24.17


Question: What is the magnetization in the first record?
Answer: 0.00 μB per cell


Question: Number 2 is which compound?
Answer: La2Ho12Th5